[1]
VASP calculation (PBE-GGA) on an optimized crystal structure of K2ScW.

```
4
Lattice="-2.116 2.116 6.362 2.116 -2.116 6.362 2.116 2.116 -6.362" Properties=species:S:1:pos:R:3 pbc="T T T"
K 2.116 0.000 3.181
K 0.000 2.116 3.181
Sc 0.000 0.000 0.000
W 0.000 0.000 6.362
```

**Total moment**: 0.441 μB per atom
**E_form**: 1.47 eV/atom
**Energy above the lowest structure with this stoichiometry**: 583 meV per atom

---

[2]
VASP calculation (PBE-GGA) on an optimized crystal structure of Li2GeTe4.

```
7
Lattice="-3.131 3.131 5.590 3.131 -3.131 5.590 3.131 3.131 -5.590" Properties=species:S:1:pos:R:3 pbc="T T T"
Li 3.131 0.000 2.795
Li 0.000 3.131 2.795
Ge 0.000 0.000 0.000
Te 1.502 -1.502 4.319
Te 1.629 1.629 1.271
Te -1.502 1.502 4.319
Te 1.502 1.502 6.861
```

**Formation energy without anion corrections**: -0.2377 eV per atom
**Total moment**: 0.000 μB per atom

---

[3]
VASP calculation (PBE-GGA) on an optimized crystal structure of KTlNiCl6.

```
18
Lattice="6.602 0.000 0.000 -3.301 5.718 0.000 0.000 0.000 13.891" Properties=species:S:1:pos:R:3 pbc="T T T"
K 0.000 0.000 0.000
K 0.000 0.000 6.945
Tl 0.000 3.812 3.473
Tl 3.301 1.906 10.418
Ni 0.000 3.812 10.418
Ni 3.301 1.906 3.473
Cl -1.090 2.192 8.996
Cl -1.948 3.678 11.840
Cl 1.090 2.192 11.840
Cl -0.858 5.566 8.996
Cl 2.443 0.152 2.050
Cl 1.354 2.040 4.895
Cl 1.948 3.678 8.996
Cl 0.858 5.566 11.840
Cl 4.159 0.152 4.895
Cl 2.211 3.526 2.050
Cl 5.249 2.040 2.050
Cl 4.391 3.526 4.895
```

**Formation energy without anion corrections**: -0.9426 eV per atom
**Total moment**: 0.233 μB per atom

---

[4]
VASP calculation (PBE-GGA) on an optimized crystal structure of LiRe2Br.

```
4
Lattice="3.142 0.000 0.000 0.000 3.142 0.000 0.000 0.000 7.371" Properties=species:S:1:pos:R:3 pbc="T T T"
Li 0.000 0.000 0.000
Re 0.000 0.000 3.034
Re 1.571 1.571 1.762
Br 1.571 1.571 6.367
```

**Formation energy without anion corrections**: 0.2024 eV per atom
**Total moment**: 0.000 μB per atom
**Energy above the lowest structure with this stoichiometry**: 45 meV per atom

---

[5]
VASP calculation (PBE-GGA) on an optimized crystal structure of SrCaCu2Tc.

```
5
Lattice="4.927 0.000 0.000 0.000 4.927 0.000 0.000 0.000 5.939" Properties=species:S:1:pos:R:3 pbc="T T T"
Sr 0.000 0.000 0.000
Ca 0.000 0.000 2.970
Cu 0.000 2.464 2.970
Cu 2.464 0.000 2.970
Tc 2.464 2.464 0.000
```

**Total moment**: 0.653 μB per atom
**E_form**: 1.66 eV/atom

---

[6]
VASP calculation (PBE-GGA) on an optimized crystal structure of YAl3B4O12.

```
20
Lattice="4.682 2.703 2.437 -4.682 2.703 2.437 0.000 -5.406 2.437" Properties=species:S:1:pos:R:3 pbc="T T T"
Y 0.000 0.000 0.000
Al -2.082 -1.800 2.437
Al -0.517 2.703 2.437
Al 2.600 -0.904 2.437
B -4.153 0.000 3.655
B 2.076 -3.596 3.655
B 0.000 0.000 3.655
B 2.076 3.596 3.655
O -3.517 -1.210 3.497
O -1.911 -3.310 3.655
O -3.517 1.210 3.813
O -0.696 -1.205 3.655
O 0.710 -3.651 3.813
O -0.696 1.205 3.655
O -1.911 3.310 3.655
O 2.807 -2.440 3.497
O 1.392 0.000 3.655
O 0.710 3.651 3.497
O 3.822 0.000 3.655
O 2.807 2.440 3.813
```

**Formation energy without anion corrections**: -2.8270 eV per atom
**Total moment**: 0.000 μB per atom